[1]
Below is Cd2Ge2I7 after structural relaxation, with properties calculated at the PBE level.

Unit cell a=7.657 b=13.384 c=12.118 alpha=90.00 beta=102.74 gamma=90.00
Space group C2/m (No. 12)
Asymmetric unit:
Cd 0.085 0.000 0.240 [4 per cell]
Ge 0.000 0.170 0.500 [4 per cell]
I 0.000 0.000 0.000 [2 per cell]
I 0.211 0.000 0.637 [4 per cell]
I 0.239 0.318 0.655 [8 per cell]

Properties
The value obtained for the density of states at the Fermi level is 9.82 states/eV per cell.

=====

[2]
Below is CoBi2P4 after structural relaxation, with properties calculated at the PBE level.

Unit cell a=4.262 b=4.262 c=15.875 alpha=90.00 beta=90.00 gamma=90.00
Space group I4/mmm (No. 139)
Asymmetric unit:
Co 0.000 0.000 0.000 [2 per cell]
Bi 0.000 0.000 0.338 [4 per cell]
P 0.000 0.000 0.157 [4 per cell]
P 0.000 0.500 0.000 [4 per cell]

Properties
The value obtained for the density of states at the Fermi level is 13.94 states/eV per cell.

=====

[3]
Below is K3NdHo2Te6 after structural relaxation, with properties calculated at the PBE level.

Unit cell a=7.841 b=13.583 c=8.655 alpha=90.00 beta=107.60 gamma=90.00
Space group C2/m (No. 12)
Asymmetric unit:
K 0.000 0.000 0.000 [2 per cell]
K 0.000 0.336 0.000 [4 per cell]
Nd 0.000 0.500 0.500 [2 per cell]
Ho 0.000 0.167 0.500 [4 per cell]
Te 0.228 0.000 0.709 [4 per cell]
Te 0.241 0.329 0.710 [8 per cell]

=====

[4]
Below is AlPPt after structural relaxation, with properties calculated at the PBE level.

Unit cell a=4.3756 b=4.3756 c=5.4925 alpha=90.00 beta=90.00 gamma=120.00
Space group P6_3/mmc (No. 194)
Asymmetric unit:
Al 0.3333 0.6667 0.2500 [2 per cell]
P 0.3333 0.6667 0.7500 [2 per cell]
Pt 0.0000 0.0000 0.0000 [2 per cell]

Properties
The value obtained for the density of states at the Fermi level is 2.86 states/eV per cell.

=====

[5]
Below is K4Hg5As2 after structural relaxation, with properties calculated at the PBE level.

Unit cell a=8.018 b=5.039 c=9.236 alpha=90.00 beta=94.76 gamma=90.00
Space group P2/m (No. 10)
Asymmetric unit:
K 0.210 0.000 0.355 [2 per cell]
K 0.230 0.000 0.914 [2 per cell]
Hg 0.153 0.500 0.631 [2 per cell]
Hg 0.442 0.500 0.156 [2 per cell]
Hg 0.500 0.500 0.500 [1 per cell]
As 0.062 0.500 0.125 [2 per cell]

Properties
The value obtained for the density of states at the Fermi level is 5.61 states/eV per cell.

=====

[6]
Below is KOs2I after structural relaxation, with properties calculated at the PBE level.

Unit cell a=7.926 b=7.926 c=5.945 alpha=90.00 beta=90.00 gamma=90.00
Space group I-42d (No. 122)
Asymmetric unit:
K 0.000 0.000 0.000 [4 per cell]
Os 0.177 0.250 0.625 [8 per cell]
I 0.000 0.000 0.500 [4 per cell]

Properties
The energy above the most stable polymorph in this dataset comes out at 0.000 eV/atom. The value obtained for the density of states at the Fermi level is 4.92 states/eV per cell.

=====

[7]
Below is La6CuRu2Br3 after structural relaxation, with properties calculated at the PBE level.

Unit cell a=7.254 b=12.564 c=8.327 alpha=90.00 beta=106.82 gamma=90.00
Space group C2/m (No. 12)
Asymmetric unit:
La 0.216 0.000 0.197 [4 per cell]
La 0.240 0.325 0.197 [8 per cell]
Cu 0.000 0.500 0.000 [2 per cell]
Ru 0.000 0.167 0.000 [4 per cell]
Br 0.000 0.000 0.500 [2 per cell]
Br 0.000 0.333 0.500 [4 per cell]

Properties
The value obtained for the density of states at the Fermi level is 7.17 states/eV per cell.

=====

[8]
Below is NdHo5P6 after structural relaxation, with properties calculated at the PBE level.

Unit cell a=6.963 b=12.056 c=6.961 alpha=90.00 beta=109.50 gamma=90.00
Space group C2/m (No. 12)
Asymmetric unit:
Nd 0.000 0.000 0.000 [2 per cell]
Ho 0.000 0.166 0.500 [4 per cell]
Ho 0.000 0.333 0.000 [4 per cell]
Ho 0.000 0.500 0.500 [2 per cell]
P 0.245 0.500 0.253 [4 per cell]
P 0.246 0.330 0.746 [8 per cell]

Properties
The value obtained for the density of states at the Fermi level is 2.16 states/eV per cell.

=====

[9]
Below is KCdSn3 after structural relaxation, with properties calculated at the PBE level.

Unit cell a=5.686 b=5.686 c=5.686 alpha=90.00 beta=90.00 gamma=90.00
Space group Pm-3m (No. 221)
Asymmetric unit:
K 0.000 0.000 0.000 [1 per cell]
Cd 0.500 0.500 0.500 [1 per cell]
Sn 0.000 0.500 0.500 [3 per cell]

Properties
The energy above the most stable polymorph in this dataset comes out at 0.415 eV/atom. The value obtained for the density of states at the Fermi level is 3.08 states/eV per cell.

=====

[10]
Below is TbNdHo2Tl2 after structural relaxation, with properties calculated at the PBE level.

Unit cell a=5.143 b=10.073 c=6.818 alpha=90.00 beta=90.00 gamma=90.00
Space group Pmc2_1 (No. 26)
Asymmetric unit:
Tb 0.000 0.191 0.000 [2 per cell]
Nd 0.500 0.042 0.276 [2 per cell]
Ho 0.000 0.457 0.368 [2 per cell]
Ho 0.500 0.318 0.652 [2 per cell]
Tl 0.000 0.141 0.536 [2 per cell]
Tl 0.500 0.369 0.115 [2 per cell]

Properties
The value obtained for the density of states at the Fermi level is 12.03 states/eV per cell.

=====

[11]
Below is Er4SiAsSe2 after structural relaxation, with properties calculated at the PBE level.

Unit cell a=7.057 b=4.070 c=7.071 alpha=90.00 beta=109.35 gamma=90.00
Space group P2/m (No. 10)
Asymmetric unit:
Er 0.241 0.000 0.235 [2 per cell]
Er 0.250 0.500 0.765 [2 per cell]
Si 0.000 0.500 0.000 [1 per cell]
As 0.500 0.000 0.000 [1 per cell]
Se 0.000 0.000 0.500 [1 per cell]
Se 0.500 0.500 0.500 [1 per cell]

Properties
The value obtained for the density of states at the Fermi level is 1.28 states/eV per cell.

=====

[12]
Below is KBa3Cu4I12 after structural relaxation, with properties calculated at the PBE level.

Unit cell a=16.5124 b=16.5124 c=13.1557 alpha=90.00 beta=90.00 gamma=120.00
Space group R32 (No. 155, hexagonal axes)
Asymmetric unit:
K 0.0000 0.0000 0.0000 [3 per cell]
Ba 0.0000 0.5386 0.0000 [9 per cell]
Cu 0.0000 0.0000 0.5000 [3 per cell]
Cu 0.0000 0.4487 0.5000 [9 per cell]
I 0.0000 0.6054 0.5000 [9 per cell]
I 0.0000 0.8481 0.5000 [9 per cell]
I 0.0211 0.1906 0.1749 [18 per cell]

Properties
The value obtained for the density of states at the Fermi level is 41.24 states/eV per cell.

=====

In eV per atom, the calculated total energy values for the records above are, in order, -2.298 -4.849 -4.402 -5.110 -1.660 -4.319 -5.677 -6.604 -2.544 -4.148 -5.918 -3.034.